# 1
Material: InGePb2Se5
Method: DFT, PBE
State: optimized geometry

Output
- D(E_F): 0.1277 states/eV/atom
- Calculated volume: 986.4 Å³ per cell
- Formation energy without anion corrections: -0.43 eV/atom

Lattice parameters (Å, degrees): 4.296 18.234 12.594 90.00 90.00 90.00
Space group Cmc2_1 (No. 36)
One atom of each set of equivalent atoms:
In1 0.000 0.204 0.000 x4
Ge1 0.000 0.440 0.405 x4
Pb1 0.000 0.118 0.302 x4
Pb2 0.000 0.136 0.655 x4
Se1 0.000 0.043 0.001 x4
Se2 0.000 0.298 0.646 x4
Se3 0.000 0.312 0.343 x4
Se4 0.000 0.353 0.987 x4
Se5 0.000 0.493 0.742 x4

# 2
Material: CsMg6Co
Method: DFT, PBE
State: optimized geometry

Output
- Distance to the lowest polymorph of the same formula: 0.0 meV per atom
- D(E_F): 0.4913 states/eV/atom
- Calculated volume: 205.8 Å³ per cell
- Formation energy from the elements: 0.1944 eV/atom

Lattice parameters (Å, degrees): 8.004 8.004 3.212 90.00 90.00 90.00
Space group P4/mmm (No. 123)
One atom of each set of equivalent atoms:
Cs1 0.000 0.000 0.000 x1
Mg1 0.000 0.500 0.000 x2
Mg2 0.314 0.314 0.500 x4
Co1 0.500 0.500 0.000 x1

# 3
Material: TiVTc
Method: DFT, PBE
State: optimized geometry

Output
- Distance to the lowest polymorph of the same formula: 39.8 meV per atom
- D(E_F): 1.1278 states/eV/atom
- Calculated volume: 44.0 Å³ per cell
- Formation energy from the elements: -0.2864 eV/atom

Lattice parameters (Å, degrees): 4.2457 4.2457 2.8172 90.00 90.00 120.00
Space group P3m1 (No. 156)
One atom of each set of equivalent atoms:
Ti1 0.0000 0.0000 0.0000 x1
V1 0.3333 0.6667 0.3864 x1
Tc1 0.6667 0.3333 0.6769 x1

# 4
Material: Re3Pt4
Method: DFT, PBE
State: optimized geometry

Output
- Distance to the lowest polymorph of the same formula: 0.0 meV per atom
- D(E_F): 0.9711 states/eV/atom
- Calculated volume: 216.6 Å³ per cell
- Formation energy from the elements: 0.1031 eV/atom

Lattice parameters (Å, degrees): 3.328 3.328 19.560 90.00 90.00 90.00
Space group I4/mmm (No. 139)
One atom of each set of equivalent atoms:
Re1 0.000 0.000 0.000 x2
Re2 0.000 0.000 0.284 x4
Pt1 0.000 0.000 0.142 x4
Pt2 0.000 0.000 0.429 x4